Ca2MnAlAu6 | PBE | relaxed

Computed properties:
- DFT formation energy: -38.2 kJ per mole of atoms
- DOS(E_F): 0.463 states/eV per atom
- Spin magnetization: 0.398 μB/atom
- Total DFT energy (no corrections): -4.0542 eV/atom

a = 6.8231 Å, b = 7.0404 Å, c = 6.8253 Å
α = 79.28°, β = 48.02°, γ = 97.75°
Closest atoms and distances in Å follow each position.
Fractional positions:
Ca 0.2593 0.7887 0.4694  7 Au 3.15-3.45
Au 0.2319 0.2357 0.4947  1 Al 2.59, 1 Mn 2.65, 2 Au 2.77-2.78
Au 0.2671 0.7633 0.0077  1 Al 2.58, 1 Mn 2.65, 2 Au 2.77-2.78
Au 0.2488 0.3901 0.8605  1 Al 2.56, 1 Mn 2.63
Al 0.5000 0.5000 0.0000  6 Au 2.56-2.59
Ca 0.7407 0.2113 0.5306  7 Au 3.15-3.45
Au 0.7512 0.6099 0.1395  1 Al 2.56, 1 Mn 2.63
Au 0.7328 0.2367 0.9923  1 Al 2.58, 1 Mn 2.65, 2 Au 2.77-2.78
Au 0.7681 0.7643 0.5053  1 Al 2.59, 1 Mn 2.65, 2 Au 2.77-2.78
Mn 0.0000 0.0000 0.0000  6 Au 2.63-2.65

---

Co3Mo | PBE | relaxed

Computed properties:
- DFT formation energy: 16.7 kJ per mole of atoms
- DOS(E_F): 0.975 states/eV per atom
- Spin magnetization: 0.974 μB/atom
- Total DFT energy (no corrections): -7.8644 eV/atom

a = 2.6177 Å, b = 2.6177 Å, c = 8.2651 Å
α = 90.00°, β = 90.00°, γ = 120.00°
Closest atoms and distances in Å follow each position.
Fractional positions:
Co 0.3333 0.6667 0.2500  12 Co 2.47-2.62
Co 0.0000 0.0000 0.0141  9 Co 2.47-2.62, 3 Mo 2.66
Mo 0.3333 0.6667 0.7500  6 Mo 2.62, 6 Co 2.66
Co 0.0000 0.0000 0.4859  9 Co 2.47-2.62, 3 Mo 2.66

---

ZrV3Cl | PBE | relaxed

Computed properties:
- Formation energy from raw total energies: 316.7 meV per atom
- DOS(E_F): 0.990 states/eV per atom
- Spin magnetization: 0.000 μB/atom
- Energy above the most stable polymorph in this dataset: 0.0000 eV/atom
- Total DFT energy (no corrections): -7.2334 eV/atom

a = 4.3250 Å, b = 4.3250 Å, c = 4.3250 Å
α = 90.00°, β = 90.00°, γ = 90.00°
Closest atoms and distances in Å follow each position.
Fractional positions:
V 0.0000 0.0000 0.5000  2 Cl 2.16
V 0.0000 0.5000 0.0000  2 Cl 2.16
V 0.5000 0.0000 0.0000  2 Cl 2.16
Cl 0.0000 0.0000 0.0000  6 V 2.16
Zr 0.5000 0.5000 0.5000  12 V 3.06

---

HfTi2Zn2 | PBE | relaxed

Computed properties:
- DFT formation energy: -0.8 kJ per mole of atoms
- DOS(E_F): 1.063 states/eV per atom
- Spin magnetization: 0.000 μB/atom
- Energy above the most stable polymorph in this dataset: 0.0690 eV/atom
- Total DFT energy (no corrections): -5.6670 eV/atom

a = 2.9043 Å, b = 2.8660 Å, c = 10.4306 Å
α = 82.10°, β = 90.00°, γ = 90.00°
Closest atoms and distances in Å follow each position.
Fractional positions:
Zn 0.5000 0.3989 0.2022  4 Ti 2.79, 4 Zn 2.87-2.90, 4 Hf 2.92
Zn 0.5000 0.6011 0.7978  4 Ti 2.79, 4 Zn 2.87-2.90, 4 Hf 2.92
Hf 0.0000 0.0000 0.0000  4 Hf 2.87-2.90, 8 Zn 2.92
Ti 0.0000 0.1930 0.6140  6 Ti 2.76-2.90, 4 Zn 2.79
Ti 0.0000 0.8070 0.3860  6 Ti 2.76-2.90, 4 Zn 2.79

---

Na3Sr2NpS6 | PBE | relaxed

Computed properties:
- Formation energy from raw total energies: -1518.9 meV per atom
- DOS(E_F): 0.666 states/eV per atom
- Spin magnetization: 0.167 μB/atom
- Total DFT energy (no corrections): -5.2711 eV/atom

a = 7.2357 Å, b = 7.2357 Å, c = 7.0692 Å
α = 99.91°, β = 99.91°, γ = 120.07°
Closest atoms and distances in Å follow each position.
Fractional positions:
Sr 0.6675 0.3325 0.0000  6 S 2.96-2.98
S 0.6226 0.9220 0.7661  1 Np 2.66, 2 Na 2.90, 1 Sr 2.97
S 0.2228 0.2228 0.7751  1 Np 2.62, 2 Na 2.90
S 0.7772 0.7772 0.2249  1 Np 2.62, 2 Na 2.90
S 0.0780 0.3774 0.2339  1 Np 2.66, 2 Na 2.90, 1 Sr 2.97
Na 0.1634 0.8366 0.5000  6 S 2.90-3.22
S 0.3774 0.0780 0.2339  1 Np 2.66, 2 Na 2.90, 1 Sr 2.97
Sr 0.3325 0.6675 0.0000  6 S 2.96-2.98
S 0.9220 0.6226 0.7661  1 Np 2.66, 2 Na 2.90, 1 Sr 2.97
Na 0.5000 0.5000 0.5000  6 S 2.90-3.24
Na 0.8366 0.1634 0.5000  6 S 2.90-3.22
Np 0.0000 0.0000 0.0000  6 S 2.62-2.66

---

GaReTc2 | PBE | relaxed

Computed properties:
- DFT formation energy: -1.8 kJ per mole of atoms
- DOS(E_F): 0.886 states/eV per atom
- Spin magnetization: 0.000 μB/atom
- Energy above the most stable polymorph in this dataset: 0.0349 eV/atom
- Total DFT energy (no corrections): -9.0700 eV/atom

a = 2.8016 Å, b = 2.8016 Å, c = 8.8705 Å
α = 80.91°, β = 80.91°, γ = 60.00°
Closest atoms and distances in Å follow each position.
Fractional positions:
Ga 0.0000 0.0000 0.0000  6 Tc 2.72, 6 Ga 2.80
Re 0.5000 0.5000 0.5000  6 Tc 2.71, 6 Re 2.80
Tc 0.7505 0.7505 0.7486  3 Re 2.71, 3 Ga 2.72, 6 Tc 2.80
Tc 0.2495 0.2495 0.2514  3 Re 2.71, 3 Ga 2.72, 6 Tc 2.80

---

PaPBr | PBE | relaxed

Computed properties:
- Formation energy from raw total energies: -1170.1 meV per atom
- DOS(E_F): 0.977 states/eV per atom
- Spin magnetization: 0.166 μB/atom
- Energy above the most stable polymorph in this dataset: 0.0000 eV/atom
- Total DFT energy (no corrections): -6.6963 eV/atom

a = 3.9434 Å, b = 3.9444 Å, c = 12.4555 Å
α = 90.01°, β = 81.38°, γ = 90.00°
Closest atoms and distances in Å follow each position.
Fractional positions:
P 0.0183 0.5722 0.3996  5 Pa 2.80-2.87
Pa 0.5077 0.0722 0.4221  1 Br 2.66, 5 P 2.80-2.87
Br 0.2305 0.5724 0.9504  1 Pa 2.66
Pa 0.1290 0.5721 0.1663  1 Br 2.66, 5 P 2.80-2.87
P 0.6183 0.0721 0.1887  5 Pa 2.80-2.87
Br 0.4048 0.0726 0.6380  1 Pa 2.66

---

CrFe2As | PBE | relaxed

Computed properties:
- DFT formation energy: 14.7 kJ per mole of atoms
- DOS(E_F): 1.102 states/eV per atom
- Spin magnetization: 0.717 μB/atom
- Total DFT energy (no corrections): -7.6474 eV/atom

a = 2.7522 Å, b = 3.6130 Å, c = 5.0067 Å
α = 90.00°, β = 90.00°, γ = 90.00°
Closest atoms and distances in Å follow each position.
Fractional positions:
As 0.0000 0.0000 0.5020  6 Fe 2.50-2.64, 4 Cr 2.61, 2 As 2.75
Cr 0.5000 0.5000 0.7607  6 Fe 2.37-2.64, 4 As 2.61
Fe 0.5000 0.5000 0.2342  2 Cr 2.37-2.64, 4 Fe 2.55, 4 As 2.64
Fe 0.0000 0.0000 0.0030  2 As 2.50-2.51, 6 Fe 2.55-2.75, 4 Cr 2.57

---

SbIrOs2 | PBE | relaxed

Computed properties:
- Formation energy from raw total energies: 619.9 meV per atom
- DOS(E_F): 1.173 states/eV per atom
- Spin magnetization: 0.000 μB/atom
- Total DFT energy (no corrections): -8.2408 eV/atom

a = 2.9280 Å, b = 2.9280 Å, c = 7.4552 Å
α = 90.00°, β = 90.00°, γ = 90.00°
Closest atoms and distances in Å follow each position.
Fractional positions:
Ir 0.5000 0.5000 0.7500  8 Os 2.74, 4 Ir 2.93
Os 0.0000 0.0000 0.5094  4 Ir 2.74, 4 Sb 2.83, 4 Os 2.93
Os 0.0000 0.0000 0.9906  4 Ir 2.74, 4 Sb 2.83, 4 Os 2.93
Sb 0.5000 0.5000 0.2500  8 Os 2.83, 4 Sb 2.93

---

Rb2LiSiF6 | PBE | relaxed

Computed properties:
- Formation energy from raw total energies: -2654.1 meV per atom
- DOS(E_F): 0.309 states/eV per atom
- Spin magnetization: 0.067 μB/atom
- Total DFT energy (no corrections): -4.7041 eV/atom

a = 5.9185 Å, b = 5.9185 Å, c = 5.9249 Å
α = 60.04°, β = 60.04°, γ = 90.00°
Closest atoms and distances in Å follow each position.
Fractional positions:
F 0.2308 0.7692 0.0000  1 Si 1.93
F 0.7692 0.2308 0.0000  1 Si 1.93
F 0.7699 0.7699 0.4601  1 Si 1.93
F 0.2308 0.2308 0.0000  1 Si 1.93
F 0.2301 0.2301 0.5399  1 Si 1.93
Si 0.0000 0.0000 0.0000  6 F 1.93
F 0.7692 0.7692 0.0000  1 Si 1.93
Li 0.5000 0.5000 0.0000  6 F 2.25-2.26
Rb 0.2500 0.7500 0.5000  12 F 2.96-2.97
Rb 0.7500 0.2500 0.5000  12 F 2.96-2.97

---

K2NaTe2 | PBE | relaxed

Computed properties:
- Formation energy from raw total energies: -708.8 meV per atom
- DOS(E_F): 0.156 states/eV per atom
- Spin magnetization: 0.000 μB/atom
- Energy above the most stable polymorph in this dataset: 0.1682 eV/atom
- Total DFT energy (no corrections): -2.6683 eV/atom

a = 9.8902 Å, b = 9.8902 Å, c = 3.7599 Å
α = 90.00°, β = 90.00°, γ = 90.00°
Closest atoms and distances in Å follow each position.
Fractional positions:
Na 0.0000 0.0000 0.0000  2 Na 3.76, 4 K 3.94, 8 Te 4.09
Te 0.1787 0.6787 0.5000  6 K 3.38-3.55, 2 Te 3.76
Na 0.5000 0.5000 0.0000  2 Na 3.76, 4 K 3.94, 8 Te 4.09
Te 0.8213 0.3213 0.5000  6 K 3.38-3.55, 2 Te 3.76
K 0.8795 0.6205 0.0000  3 K 3.37-3.76, 6 Te 3.38-3.55
Te 0.6787 0.8213 0.5000  6 K 3.38-3.55, 2 Te 3.76
K 0.1205 0.3795 0.0000  3 K 3.37-3.76, 6 Te 3.38-3.55
K 0.6205 0.1205 0.0000  3 K 3.37-3.76, 6 Te 3.38-3.55
Te 0.3213 0.1787 0.5000  6 K 3.38-3.55, 2 Te 3.76
K 0.3795 0.8795 0.0000  3 K 3.37-3.76, 6 Te 3.38-3.55

---

ThCoGe2Os | PBE | relaxed

Computed properties:
- DFT formation energy: -49.2 kJ per mole of atoms
- DOS(E_F): 0.344 states/eV per atom
- Spin magnetization: 0.000 μB/atom
- Total DFT energy (no corrections): -7.5075 eV/atom

a = 4.1695 Å, b = 4.1695 Å, c = 5.9045 Å
α = 110.68°, β = 110.68°, γ = 90.00°
Closest atoms and distances in Å follow each position.
Fractional positions:
Co 0.2500 0.7500 0.5000  4 Ge 2.43
Ge 0.3716 0.3716 0.7433  2 Os 2.43, 2 Co 2.43, 1 Ge 2.63
Th 0.0000 0.0000 0.0000  8 Ge 3.23, 4 Os 3.30, 4 Co 3.30
Ge 0.6284 0.6284 0.2567  2 Co 2.43, 2 Os 2.43, 1 Ge 2.63
Os 0.7500 0.2500 0.5000  4 Ge 2.43